(1)
Pr5Tl2Hg: optimized geometry, PBE.

Cell and atoms, written as POSCAR:
```
Pr5Tl2Hg
1.0
7.2704 0.0000 0.0000
0.0000 7.2704 0.0000
0.0000 0.0000 9.2458
Pr Tl Hg
10 4 2
Cartesian
0.0000 0.0000 0.0000
1.8187 1.8187 2.3091
1.8165 1.8165 6.9320
1.8187 5.4517 2.3091
1.8165 5.4539 6.9320
3.6352 3.6352 4.6229
5.4517 1.8187 2.3091
5.4539 1.8165 6.9320
5.4517 5.4517 2.3091
5.4539 5.4539 6.9320
0.0000 3.6352 9.2436
0.0000 3.6352 4.6207
3.6352 0.0000 9.2436
3.6352 0.0000 4.6207
0.0000 0.0000 4.6161
3.6352 3.6352 9.2390
```

Results
Fermi-level density of states = 1.15 states/eV per atom
ΔE to the lowest computed polymorph = 32.0 meV/atom
spin magnetization = 0.0 μB/f.u.
crystal system = tetragonal

***

(2)
Pr3Tl2Hg4: optimized geometry, PBE.

Cell and atoms, written as POSCAR:
```
Pr3Tl2Hg4
1.0
5.7289 -2.5248 0.0000
5.7289 2.5248 0.0000
-4.3413 0.0000 8.5728
Pr Tl Hg
3 2 4
Cartesian
0.0000 0.0000 0.0000
2.4035 0.0000 2.8304
4.7129 0.0000 5.7424
1.3146 0.0000 6.2316
5.8018 0.0000 2.3412
-0.8667 0.0000 3.6110
-0.7707 0.0000 8.3749
7.8871 0.0000 0.1980
7.9831 0.0000 4.9619
```

Results
E = -23.8 eV per formula unit
Fermi-level density of states = 0.57 states/eV per atom
spin magnetization = 0.0 μB/f.u.
crystal system = monoclinic